VASP calculation (PBE-GGA) on BeBH3 after structural relaxation.

Computed properties:
offset from the most stable computed form = 0 meV per atom
energy = -3.14 eV/atom
density of states at the Fermi level = 1.1 states/eV/f.u.

The structure in POSCAR format:
```
BeBH3
1.0
3.008 0.000 0.000
0.000 3.008 0.000
0.000 0.000 3.008
Be B H
1 1 3
Direct
0.500 0.500 0.500
0.000 0.000 0.000
0.000 0.500 0.000
0.000 0.000 0.500
0.500 0.000 0.000
```